(1)
# Dy7Bi2Pt2 PBE optimized geometry
# - Total moment: 0.00 μB/f.u.
# - Crystal system: orthorhombic
# - Calculated density: 9.6 g/cm³
# - E_form: -0.64 eV/atom
data_Dy7Bi2Pt2
_cell_length_a 8.7936
_cell_length_b 10.8722
_cell_length_c 7.0462
_cell_angle_alpha 90.00
_cell_angle_beta 90.00
_cell_angle_gamma 90.00
_space_group_name_H-M_alt 'C m m m'
_space_group_IT_number 65
_space_group_name_Hall '-C 2 2'
loop_
_atom_site_label
_atom_site_fract_x
_atom_site_fract_y
_atom_site_fract_z
Dy1 0.0000 0.0000 0.0000
Dy2 0.0000 0.5000 0.2341
Dy3 0.2500 0.2500 0.2449
Bi1 0.1967 0.0000 0.5000
Pt1 0.0000 0.2792 0.0000

---

(2)
# RbNa2Hg PBE optimized geometry
# - Total moment: 0.00 μB/f.u.
# - Crystal system: trigonal
# - Calculated density: 3.2 g/cm³
# - E_form: -0.09 eV/atom
data_RbNa2Hg
_cell_length_a 5.4137
_cell_length_b 5.4137
_cell_length_c 20.2715
_cell_angle_alpha 90.00
_cell_angle_beta 90.00
_cell_angle_gamma 120.00
_space_group_name_H-M_alt 'R -3 m'
_space_group_IT_number 166
_space_group_name_Hall '-R 3 2"'
loop_
_atom_site_label
_atom_site_fract_x
_atom_site_fract_y
_atom_site_fract_z
Rb1 0.0000 0.0000 0.0000
Na1 0.0000 0.0000 0.2053
Hg1 0.0000 0.0000 0.5000

---

(3)
# BaZr2Mo PBE optimized geometry
# - Total moment: 0.00 μB/f.u.
# - Crystal system: monoclinic
# - Calculated density: 6.0 g/cm³
# - E_form: 0.62 eV/atom
data_BaZr2Mo
_cell_length_a 9.6667
_cell_length_b 3.3609
_cell_length_c 7.1210
_cell_angle_alpha 90.00
_cell_angle_beta 92.73
_cell_angle_gamma 90.00
_space_group_name_H-M_alt 'C 1 m 1'
_space_group_IT_number 8
_space_group_name_Hall 'C -2y'
loop_
_atom_site_label
_atom_site_fract_x
_atom_site_fract_y
_atom_site_fract_z
Ba1 0.0000 0.0000 0.0000
Zr1 0.2360 0.0000 0.6378
Zr2 0.4936 0.0000 0.4595
Mo1 0.2539 0.5000 0.3374